# 1
Compound: CsKSr
Source: Alexandria
Functional: GGA-PBE
Structure: optimized geometry

abc: 23.8746 4.6198 4.6198
angles: 60.47 90.00 90.00
Fractional positions:
Cs  0.1781  0.0000  0.0000
Cs  0.8219  0.0000  0.0000
K  0.0000  0.6489  0.6489
K  0.5000  0.9981  0.9981
Sr  0.3454  0.6592  0.6592
Sr  0.6546  0.6592  0.6592

Its relative energy among the computed polymorphs is 0.0 kJ per mole of atoms. The value obtained for the energy of formation is 0.1162 eV/atom. For the density of states at the Fermi level, the calculation gives 7.465 states/eV/cell. Its space group is Amm2, No. 38.

# 2
Compound: Cs2KSr
Source: Alexandria
Functional: GGA-PBE
Structure: optimized geometry

abc: 7.8553 7.8553 7.8553
angles: 60.00 60.00 60.00
Fractional positions:
Cs  0.2500  0.2500  0.2500
Cs  0.7500  0.7500  0.7500
K  0.0000  0.0000  0.0000
Sr  0.5000  0.5000  0.5000

Its relative energy among the computed polymorphs is 2.7 kJ per mole of atoms. The value obtained for the energy of formation is 0.1391 eV/atom. For the density of states at the Fermi level, the calculation gives 4.956 states/eV/cell. Its space group is Fm-3m, No. 225.

# 3
Compound: CsK2Sr
Source: Alexandria
Functional: GGA-PBE
Structure: optimized geometry

abc: 7.6975 7.6975 4.9627
angles: 90.00 90.00 90.00
Fractional positions:
Cs  0.0000  0.0000  0.0000
K  0.0000  0.5000  0.5000
K  0.5000  0.0000  0.5000
Sr  0.5000  0.5000  0.0000

Its relative energy among the computed polymorphs is 1.8 kJ per mole of atoms. The value obtained for the energy of formation is 0.1092 eV/atom. For the density of states at the Fermi level, the calculation gives 3.364 states/eV/cell. Its space group is P4/mmm, No. 123.

# 4
Compound: Cs2KSr
Source: Alexandria
Functional: GGA-PBE
Structure: optimized geometry

abc: 9.9064 9.9064 9.9064
angles: 102.57 102.57 124.37
Fractional positions:
Cs  0.1110  0.6250  0.9860
Cs  0.3750  0.3610  0.4860
Cs  0.6390  0.1250  0.0140
Cs  0.8750  0.8890  0.5140
K  0.0000  0.0000  0.0000
K  0.7500  0.2500  0.5000
Sr  0.2500  0.7500  0.5000
Sr  0.5000  0.5000  0.0000

Its relative energy among the computed polymorphs is 10.4 kJ per mole of atoms. The value obtained for the energy of formation is 0.2180 eV/atom. For the density of states at the Fermi level, the calculation gives 10.536 states/eV/cell. Its space group is I-42d, No. 122.